This record from Alexandria via LeMat-Bulk describes Ce2FeF8 after structural relaxation. The functional is GGA+U.

Lattice parameters (Å, degrees): 3.8290 5.4942 7.5455 109.70 104.70 90.00
Closest atoms and distances in Å follow each position.
Positions (direct):
F1 0.6683 0.9595 0.3367  3 Ce 2.47-2.53, 1 Fe 2.54, 5 F 2.57-2.68
F2 0.0317 0.8188 0.0633  2 Fe 2.28, 1 Ce 2.38, 1 F 2.47
F3 0.2217 0.3171 0.4433  3 Ce 2.36-2.49, 2 F 2.57-2.63
F4 0.7783 0.6829 0.5567  3 Ce 2.36-2.49, 2 F 2.57-2.63
F5 0.3317 0.0405 0.6633  3 Ce 2.47-2.53, 1 Fe 2.54, 5 F 2.57-2.68
F6 0.5905 0.4041 0.1809  1 Fe 2.15
F7 0.9683 0.1812 0.9367  2 Fe 2.28, 1 Ce 2.38, 1 F 2.47
F8 0.4095 0.5959 0.8191  1 Fe 2.15
Ce1 0.1678 0.6751 0.3356  9 F 2.36-2.53
Ce2 0.8322 0.3249 0.6644  9 F 2.36-2.53
Fe1 0.5000 0.0000 0.0000  6 F 2.15-2.28

SG: C2/m (12)
ρ in Mg/m³: 5.63
Uncorrected energy in eV for the cell shown: -70.87
Size of the total moment in μB/f.u.: 6.000